A geometry-optimized Li3Mn3OF7 structure. Source: the Alexandria database, functional PBE+U.

Values from the calculation:
DOS(E_F), states/eV per atom: 0.00
Calculated density, g cm⁻³: 3.21
Total energy, eV/atom: -5.8895
Total moment, μB/f.u.: 15.0

Lattice parameters (Å, degrees): 6.1743 6.1743 6.1743 61.78 61.78 61.78
Last column: nearest neighbours and their distance in Å.
Atoms (fractional coordinates):
Li: 0.2582 0.2582 0.2582  1 O 1.90, 3 F 2.04
Li: 0.6224 0.6224 0.6224  6 F 2.10-2.16
Li: 0.9998 0.9998 0.9998  4 F 2.01-2.02
F: 0.3855 0.8617 0.3855  2 Li 2.04-2.10, 2 Mn 2.21
F: 0.8649 0.8649 0.8649  1 Li 2.01, 3 Mn 2.23
F: 0.3855 0.3855 0.8617  2 Li 2.04-2.10, 2 Mn 2.21
F: 0.8660 0.8660 0.3918  2 Li 2.02-2.16, 2 Mn 2.17
F: 0.3918 0.8660 0.8660  2 Li 2.02-2.16, 2 Mn 2.17
F: 0.8660 0.3918 0.8660  2 Li 2.02-2.16, 2 Mn 2.17
F: 0.8617 0.3855 0.3855  2 Li 2.04-2.10, 2 Mn 2.21
O: 0.3858 0.3858 0.3858  1 Li 1.90, 3 Mn 2.03
Mn: 0.6137 0.1331 0.6137  1 O 2.03, 5 F 2.17-2.23
Mn: 0.1331 0.6137 0.6137  1 O 2.03, 5 F 2.17-2.23
Mn: 0.6137 0.6137 0.1331  1 O 2.03, 5 F 2.17-2.23